## Pm3PrSb4 (PBE)

Data for a relaxed structure of Pm3PrSb4.

Raw formation energy ... -1.188 eV per atom
Energy above the most stable polymorph in this dataset ... 0.005 eV/atom
Energy ... -5.63 eV/atom

abc: 4.5112 7.8087 7.8087
angles: 109.47 90.00 90.00
With the nearest neighbours (Å) after each atom.
Positions (direct):
Pm (0.0000, 0.0000, 0.5000)  6 Sb 3.19
Pm (0.5000, 0.5000, 0.5000)  6 Sb 3.17
Pm (0.0000, 0.5000, 0.0000)  6 Sb 3.19
Pr (0.5000, 0.0000, 0.0000)  6 Sb 3.20-3.21
Sb (0.0000, 0.2527, 0.2527)  4 Pm 3.17-3.19, 2 Pr 3.21
Sb (0.5000, 0.7487, 0.2513)  5 Pm 3.17-3.19, 1 Pr 3.20
Sb (0.0000, 0.7473, 0.7473)  4 Pm 3.17-3.19, 2 Pr 3.21
Sb (0.5000, 0.2513, 0.7487)  5 Pm 3.17-3.19, 1 Pr 3.20


## PmPr3Sb3 (PBE)

Data for a relaxed structure of PmPr3Sb3.

Raw formation energy ... -1.065 eV per atom
Energy above the most stable polymorph in this dataset ... 0.000 eV/atom
Energy ... -5.56 eV/atom

abc: 9.5555 9.5555 9.5555
angles: 90.00 90.00 90.00
With the nearest neighbours (Å) after each atom.
Positions (direct):
Pm (0.0705, 0.5705, 0.9295)  6 Sb 3.16-3.44
Pm (0.9295, 0.0705, 0.5705)  6 Sb 3.16-3.44
Pm (0.4295, 0.4295, 0.4295)  6 Sb 3.16-3.44
Pm (0.5705, 0.9295, 0.0705)  6 Sb 3.16-3.44
Pr (0.8210, 0.3210, 0.1790)  6 Sb 3.18-3.45
Pr (0.9311, 0.9311, 0.9311)  6 Sb 3.19-3.44
Pr (0.8203, 0.6797, 0.3203)  6 Sb 3.18-3.46
Pr (0.1790, 0.8210, 0.3210)  6 Sb 3.18-3.45
Pr (0.1797, 0.1797, 0.1797)  6 Sb 3.18-3.46
Pr (0.3203, 0.8203, 0.6797)  6 Sb 3.18-3.46
Pr (0.0689, 0.4311, 0.5689)  6 Sb 3.19-3.44
Pr (0.3210, 0.1790, 0.8210)  6 Sb 3.18-3.45
Pr (0.6797, 0.3203, 0.8203)  6 Sb 3.18-3.46
Pr (0.6790, 0.6790, 0.6790)  6 Sb 3.18-3.45
Pr (0.5689, 0.0689, 0.4311)  6 Sb 3.19-3.44
Pr (0.4311, 0.5689, 0.0689)  6 Sb 3.19-3.44
Sb (0.7523, 0.6266, 0.9994)  2 Pm 3.16-3.44, 6 Pr 3.18-3.46
Sb (0.8734, 0.0006, 0.2523)  2 Pm 3.16-3.44, 6 Pr 3.18-3.46
Sb (0.9994, 0.7523, 0.6266)  2 Pm 3.16-3.44, 6 Pr 3.18-3.46
Sb (0.1266, 0.5006, 0.2477)  2 Pm 3.16-3.44, 6 Pr 3.18-3.46
Sb (0.2477, 0.1266, 0.5006)  2 Pm 3.16-3.44, 6 Pr 3.18-3.46
Sb (0.2523, 0.8734, 0.0006)  2 Pm 3.16-3.44, 6 Pr 3.18-3.46
Sb (0.0006, 0.2523, 0.8734)  2 Pm 3.16-3.44, 6 Pr 3.18-3.46
Sb (0.3734, 0.4994, 0.7477)  2 Pm 3.16-3.44, 6 Pr 3.18-3.46
Sb (0.5006, 0.2477, 0.1266)  2 Pm 3.16-3.44, 6 Pr 3.18-3.46
Sb (0.6266, 0.9994, 0.7523)  2 Pm 3.16-3.44, 6 Pr 3.18-3.46
Sb (0.7477, 0.3734, 0.4994)  2 Pm 3.16-3.44, 6 Pr 3.18-3.46
Sb (0.4994, 0.7477, 0.3734)  2 Pm 3.16-3.44, 6 Pr 3.18-3.46


## Pm5Pr2Sb5 (PBE)

Data for a relaxed structure of Pm5Pr2Sb5.

Raw formation energy ... -0.905 eV per atom
Energy ... -5.40 eV/atom

abc: 4.4318 7.5652 13.1405
angles: 105.29 90.00 107.03
With the nearest neighbours (Å) after each atom.
Positions (direct):
Pm (0.5000, 0.0000, 0.5000)  4 Sb 3.12
Pm (0.6586, 0.3172, 0.0458)  5 Sb 3.13-3.39
Pm (0.7317, 0.4633, 0.3479)  5 Sb 3.05-3.32
Pm (0.2683, 0.5367, 0.6521)  5 Sb 3.05-3.32
Pm (0.3414, 0.6828, 0.9542)  5 Sb 3.13-3.39
Pr (0.0340, 0.0680, 0.7806)  4 Sb 3.06-3.18
Pr (0.9660, 0.9320, 0.2194)  4 Sb 3.06-3.18
Sb (0.1234, 0.2468, 0.4338)  5 Pm 3.05-3.12, 1 Pr 3.10
Sb (0.6960, 0.3921, 0.8026)  2 Pr 3.18, 5 Pm 3.32-3.39
Sb (0.3040, 0.6079, 0.1974)  2 Pr 3.18, 5 Pm 3.32-3.39
Sb (0.8766, 0.7532, 0.5662)  5 Pm 3.05-3.12, 1 Pr 3.10
Sb (0.0000, 0.0000, 0.0000)  2 Pr 3.06, 4 Pm 3.13


## Pm2PrSb (PBE)

Data for a relaxed structure of Pm2PrSb.

Raw formation energy ... -0.500 eV per atom
Energy above the most stable polymorph in this dataset ... 0.076 eV/atom
Energy ... -5.10 eV/atom

abc: 4.1076 4.1076 7.4374
angles: 90.00 90.00 90.00
With the nearest neighbours (Å) after each atom.
Positions (direct):
Pr (0.5000, 0.5000, 0.0000)  8 Pm 3.60, 2 Sb 3.72
Sb (0.5000, 0.5000, 0.5000)  8 Pm 3.31
Pm (0.0000, 0.0000, 0.7148)  1 Pm 3.19, 4 Sb 3.31
Pm (0.0000, 0.0000, 0.2852)  1 Pm 3.19, 4 Sb 3.31


## Pm3PrSb (PBE)

Data for a relaxed structure of Pm3PrSb.

Raw formation energy ... -0.390 eV per atom
Energy ... -5.02 eV/atom

abc: 4.0728 11.0652 14.8077
angles: 90.00 90.00 90.00
With the nearest neighbours (Å) after each atom.
Positions (direct):
Pm (0.2500, 0.5589, 0.0844)  3 Sb 3.21-3.27, 3 Pm 3.38-3.48
Pm (0.7500, 0.4411, 0.9156)  3 Sb 3.21-3.27, 3 Pm 3.38-3.48
Pm (0.2500, 0.0589, 0.4156)  3 Sb 3.21-3.27, 3 Pm 3.38-3.48
Pm (0.7500, 0.9411, 0.5844)  3 Sb 3.21-3.27, 3 Pm 3.38-3.48
Pm (0.2500, 0.4316, 0.7063)  2 Sb 3.25-3.57, 4 Pm 3.48-3.61
Pm (0.7500, 0.0684, 0.2063)  2 Sb 3.25-3.57, 4 Pm 3.48-3.61
Pm (0.2500, 0.9316, 0.7937)  2 Sb 3.25-3.57, 4 Pm 3.48-3.61
Pm (0.7500, 0.6868, 0.7104)  2 Sb 3.21, 3 Pm 3.38-3.48
Pm (0.2500, 0.3132, 0.2896)  2 Sb 3.21, 3 Pm 3.38-3.48
Pm (0.7500, 0.1868, 0.7896)  2 Sb 3.21, 3 Pm 3.38-3.48
Pm (0.7500, 0.5684, 0.2937)  2 Sb 3.25-3.57, 4 Pm 3.48-3.61
Pm (0.2500, 0.8132, 0.2104)  2 Sb 3.21, 3 Pm 3.38-3.48
Pr (0.7500, 0.8330, 0.9972)  2 Sb 3.32
Pr (0.2500, 0.6670, 0.4972)  2 Sb 3.32
Pr (0.7500, 0.3330, 0.5028)  2 Sb 3.32
Pr (0.2500, 0.1670, 0.0028)  2 Sb 3.32
Sb (0.2500, 0.1593, 0.6232)  7 Pm 3.21-3.57, 2 Pr 3.32
Sb (0.2500, 0.6593, 0.8768)  7 Pm 3.21-3.57, 2 Pr 3.32
Sb (0.7500, 0.3407, 0.1232)  7 Pm 3.21-3.57, 2 Pr 3.32
Sb (0.7500, 0.8407, 0.3768)  7 Pm 3.21-3.57, 2 Pr 3.32


## PmPr3Sb2 (PBE)

Data for a relaxed structure of PmPr3Sb2.

Raw formation energy ... -0.634 eV per atom
Energy above the most stable polymorph in this dataset ... 0.195 eV/atom
Energy ... -5.19 eV/atom

abc: 7.3195 7.9435 9.1601
angles: 115.70 113.55 90.00
With the nearest neighbours (Å) after each atom.
Positions (direct):
Pm (0.0000, 0.5000, 0.0000)  2 Sb 3.20
Pm (0.0000, 0.0000, 0.0000)  2 Sb 3.20
Pr (0.5000, 0.2500, 0.0000)  4 Sb 3.21
Pr (0.5000, 0.7500, 0.0000)  4 Sb 3.21
Pr (0.7918, 0.0418, 0.5836)  4 Sb 3.21-3.22
Pr (0.2082, 0.4582, 0.4164)  4 Sb 3.21-3.22
Pr (0.2082, 0.9582, 0.4164)  4 Sb 3.21-3.22
Pr (0.7918, 0.5418, 0.5836)  4 Sb 3.21-3.22
Sb (0.5311, 0.3542, 0.7083)  1 Pm 3.20, 6 Pr 3.21-3.22
Sb (0.8228, 0.1458, 0.2917)  1 Pm 3.20, 6 Pr 3.21-3.22
Sb (0.1772, 0.8542, 0.7083)  1 Pm 3.20, 6 Pr 3.21-3.22
Sb (0.4689, 0.6458, 0.2917)  1 Pm 3.20, 6 Pr 3.21-3.22


> What is the energy in the fourth record?

-5.10 eV/atom


> Which value of raw formation energy does entry 5 give?

-0.390 eV per atom